Entry from the Alexandria database: a relaxed AuSe2SN crystal (PBE-GGA).

Cell and atoms, written as CIF:
```
data_AuSe2SN
_chemical_formula_sum 'Au1 Se2 S1 N1'
_cell_length_a 5.239
_cell_length_b 5.239
_cell_length_c 3.249
_cell_angle_alpha 90.00
_cell_angle_beta 90.00
_cell_angle_gamma 90.00
_space_group_name_H-M_alt 'P 4/m m m'
_space_group_IT_number 123
_space_group_name_Hall '-P 4 2'
loop_
_atom_site_label
_atom_site_type_symbol
_atom_site_fract_x
_atom_site_fract_y
_atom_site_fract_z
Au1 Au 0.000 0.000 0.000
Se1 Se 0.000 0.500 0.500
S1 S 0.500 0.500 0.500
N1 N 0.500 0.500 0.000
```

Computed properties:
Offset from the most stable computed form, eV/f.u.: 0.000
Electronic total energy, eV for the cell shown: -17.799
E_form (uncorrected), eV/atom: 0.980
Size of the total moment, μB per formula unit: 0.000

Entry from the Alexandria database: a relaxed SiAuSN2 crystal (PBE-GGA).

Cell and atoms, written as CIF:
```
data_SiAuSN2
_chemical_formula_sum 'Si1 Au1 S1 N2'
_cell_length_a 4.016
_cell_length_b 4.016
_cell_length_c 5.302
_cell_angle_alpha 90.00
_cell_angle_beta 90.00
_cell_angle_gamma 90.00
_space_group_name_H-M_alt 'P 4/m m m'
_space_group_IT_number 123
_space_group_name_Hall '-P 4 2'
loop_
_atom_site_label
_atom_site_type_symbol
_atom_site_fract_x
_atom_site_fract_y
_atom_site_fract_z
Si1 Si 0.000 0.000 0.000
Au1 Au 0.500 0.500 0.500
S1 S 0.500 0.500 0.000
N1 N 0.000 0.500 0.500
```

Computed properties:
Offset from the most stable computed form, eV/f.u.: 6.322
Electronic total energy, eV for the cell shown: -20.312
E_form (uncorrected), eV/atom: 1.833
Size of the total moment, μB per formula unit: 2.662

Entry from the Alexandria database: a relaxed SiAuSN2 crystal (PBE-GGA).

Cell and atoms, written as CIF:
```
data_SiAuSN2
_chemical_formula_sum 'Si1 Au1 S1 N2'
_cell_length_a 3.451
_cell_length_b 3.451
_cell_length_c 6.620
_cell_angle_alpha 90.00
_cell_angle_beta 90.00
_cell_angle_gamma 90.00
_space_group_name_H-M_alt 'P 4/m m m'
_space_group_IT_number 123
_space_group_name_Hall '-P 4 2'
loop_
_atom_site_label
_atom_site_type_symbol
_atom_site_fract_x
_atom_site_fract_y
_atom_site_fract_z
Si1 Si 0.000 0.000 0.000
Au1 Au 0.500 0.500 0.500
S1 S 0.000 0.000 0.500
N1 N 0.000 0.500 0.000
```

Computed properties:
Offset from the most stable computed form, eV/f.u.: 0.000
Electronic total energy, eV for the cell shown: -26.634
E_form (uncorrected), eV/atom: 0.569
Size of the total moment, μB per formula unit: 0.000

Entry from the Alexandria database: a relaxed SiAuS2N crystal (PBE-GGA).

Cell and atoms, written as CIF:
```
data_SiAuS2N
_chemical_formula_sum 'Si1 Au1 S2 N1'
_cell_length_a 4.885
_cell_length_b 4.885
_cell_length_c 3.252
_cell_angle_alpha 90.00
_cell_angle_beta 90.00
_cell_angle_gamma 90.00
_space_group_name_H-M_alt 'P 4/m m m'
_space_group_IT_number 123
_space_group_name_Hall '-P 4 2'
loop_
_atom_site_label
_atom_site_type_symbol
_atom_site_fract_x
_atom_site_fract_y
_atom_site_fract_z
Si1 Si 0.000 0.000 0.000
Au1 Au 0.500 0.500 0.500
S1 S 0.000 0.500 0.000
N1 N 0.000 0.000 0.500
```

Computed properties:
Offset from the most stable computed form, eV/f.u.: 0.000
Electronic total energy, eV for the cell shown: -22.910
E_form (uncorrected), eV/atom: 0.474
Size of the total moment, μB per formula unit: 0.000

Entry from the Alexandria database: a relaxed SiAuS2N crystal (PBE-GGA).

Cell and atoms, written as CIF:
```
data_SiAuS2N
_chemical_formula_sum 'Si1 Au1 S2 N1'
_cell_length_a 5.035
_cell_length_b 5.035
_cell_length_c 3.768
_cell_angle_alpha 90.00
_cell_angle_beta 90.00
_cell_angle_gamma 90.00
_space_group_name_H-M_alt 'P 4/m m m'
_space_group_IT_number 123
_space_group_name_Hall '-P 4 2'
loop_
_atom_site_label
_atom_site_type_symbol
_atom_site_fract_x
_atom_site_fract_y
_atom_site_fract_z
Si1 Si 0.000 0.000 0.000
Au1 Au 0.500 0.500 0.500
S1 S 0.000 0.500 0.500
N1 N 0.500 0.500 0.000
```

Computed properties:
Offset from the most stable computed form, eV/f.u.: 4.040
Electronic total energy, eV for the cell shown: -18.869
E_form (uncorrected), eV/atom: 1.282
Size of the total moment, μB per formula unit: 0.000

Entry from the Alexandria database: a relaxed SrAuS2N crystal (PBE-GGA).

Cell and atoms, written as CIF:
```
data_SrAuS2N
_chemical_formula_sum 'Sr1 Au1 S2 N1'
_cell_length_a 5.598
_cell_length_b 5.598
_cell_length_c 4.464
_cell_angle_alpha 90.00
_cell_angle_beta 90.00
_cell_angle_gamma 90.00
_space_group_name_H-M_alt 'P 4/m m m'
_space_group_IT_number 123
_space_group_name_Hall '-P 4 2'
loop_
_atom_site_label
_atom_site_type_symbol
_atom_site_fract_x
_atom_site_fract_y
_atom_site_fract_z
Sr1 Sr 0.000 0.000 0.000
Au1 Au 0.500 0.500 0.500
S1 S 0.000 0.500 0.000
N1 N 0.000 0.000 0.500
```

Computed properties:
Offset from the most stable computed form, eV/f.u.: 6.542
Electronic total energy, eV for the cell shown: -14.847
E_form (uncorrected), eV/atom: 1.338
Size of the total moment, μB per formula unit: 1.392

Entry from the Alexandria database: a relaxed SrAu2SN crystal (PBE-GGA).

Cell and atoms, written as CIF:
```
data_SrAu2SN
_chemical_formula_sum 'Sr1 Au2 S1 N1'
_cell_length_a 4.162
_cell_length_b 4.162
_cell_length_c 6.581
_cell_angle_alpha 90.00
_cell_angle_beta 90.00
_cell_angle_gamma 90.00
_space_group_name_H-M_alt 'P 4/m m m'
_space_group_IT_number 123
_space_group_name_Hall '-P 4 2'
loop_
_atom_site_label
_atom_site_type_symbol
_atom_site_fract_x
_atom_site_fract_y
_atom_site_fract_z
Sr1 Sr 0.000 0.000 0.000
Au1 Au 0.000 0.500 0.500
S1 S 0.500 0.500 0.000
N1 N 0.500 0.500 0.500
```

Computed properties:
Electronic total energy, eV for the cell shown: -21.089
E_form (uncorrected), eV/atom: -0.080
Size of the total moment, μB per formula unit: 0.717

Entry from the Alexandria database: a relaxed SrAuS2N crystal (PBE-GGA).

Cell and atoms, written as CIF:
```
data_SrAuS2N
_chemical_formula_sum 'Sr1 Au1 S2 N1'
_cell_length_a 5.104
_cell_length_b 5.104
_cell_length_c 4.005
_cell_angle_alpha 90.00
_cell_angle_beta 90.00
_cell_angle_gamma 90.00
_space_group_name_H-M_alt 'P 4/m m m'
_space_group_IT_number 123
_space_group_name_Hall '-P 4 2'
loop_
_atom_site_label
_atom_site_type_symbol
_atom_site_fract_x
_atom_site_fract_y
_atom_site_fract_z
Sr1 Sr 0.000 0.000 0.000
Au1 Au 0.500 0.500 0.500
S1 S 0.000 0.500 0.500
N1 N 0.500 0.500 0.000
```

Computed properties:
Offset from the most stable computed form, eV/f.u.: 0.000
Electronic total energy, eV for the cell shown: -21.389
E_form (uncorrected), eV/atom: 0.030
Size of the total moment, μB per formula unit: 1.376

Entry from the Alexandria database: a relaxed TlAuS2N crystal (PBE-GGA).

Cell and atoms, written as CIF:
```
data_TlAuS2N
_chemical_formula_sum 'Tl1 Au1 S2 N1'
_cell_length_a 5.244
_cell_length_b 5.244
_cell_length_c 4.297
_cell_angle_alpha 90.00
_cell_angle_beta 90.00
_cell_angle_gamma 90.00
_space_group_name_H-M_alt 'P 4/m m m'
_space_group_IT_number 123
_space_group_name_Hall '-P 4 2'
loop_
_atom_site_label
_atom_site_type_symbol
_atom_site_fract_x
_atom_site_fract_y
_atom_site_fract_z
Tl1 Tl 0.000 0.000 0.000
Au1 Au 0.500 0.500 0.500
S1 S 0.000 0.500 0.000
N1 N 0.000 0.000 0.500
```

Computed properties:
Offset from the most stable computed form, eV/f.u.: 3.067
Electronic total energy, eV for the cell shown: -14.555
E_form (uncorrected), eV/atom: 1.534
Size of the total moment, μB per formula unit: 3.051

Entry from the Alexandria database: a relaxed TlAuS2N crystal (PBE-GGA).

Cell and atoms, written as CIF:
```
data_TlAuS2N
_chemical_formula_sum 'Tl1 Au1 S2 N1'
_cell_length_a 5.200
_cell_length_b 5.200
_cell_length_c 3.817
_cell_angle_alpha 90.00
_cell_angle_beta 90.00
_cell_angle_gamma 90.00
_space_group_name_H-M_alt 'P 4/m m m'
_space_group_IT_number 123
_space_group_name_Hall '-P 4 2'
loop_
_atom_site_label
_atom_site_type_symbol
_atom_site_fract_x
_atom_site_fract_y
_atom_site_fract_z
Tl1 Tl 0.000 0.000 0.000
Au1 Au 0.500 0.500 0.500
S1 S 0.000 0.500 0.500
N1 N 0.500 0.500 0.000
```

Computed properties:
Offset from the most stable computed form, eV/f.u.: 0.000
Electronic total energy, eV for the cell shown: -17.623
E_form (uncorrected), eV/atom: 0.920
Size of the total moment, μB per formula unit: 0.000